VASP calculation (GGA-PBE) on an optimized crystal structure of Tl2CuIrCl6.

Cell lengths 6.964, 6.969, 9.783 Å; angles 90.00, 90.00, 90.00 degrees
Fractional positions:
Tl 0.500 0.750 0.750
Tl 0.500 0.750 0.250
Tl 0.000 0.250 0.750
Tl 0.000 0.250 0.250
Cl 0.500 0.249 0.745
Cl 0.743 0.007 0.500
Cl 0.743 0.493 0.500
Cl 0.500 0.249 0.255
Cl 0.000 0.751 0.245
Cl 0.757 0.993 0.000
Cl 0.243 0.993 0.000
Cl 0.757 0.507 0.000
Cl 0.257 0.493 0.500
Cl 0.243 0.507 0.000
Cl 0.257 0.007 0.500
Cl 0.000 0.751 0.755
Ir 0.500 0.250 0.500
Ir 0.000 0.750 0.000
Cu 0.500 0.251 0.000
Cu 0.000 0.749 0.500

Computed properties:
Crystal system: orthorhombic
Energy relative to the elements, uncorrected (eV per atom): -0.626